No. 1
The following is a PBE calculation of a relaxed CsScPd2F8 crystal, from Alexandria.

POSCAR file:
```
CsScPd2F8
1.0
5.701 0.000 0.000
-2.851 4.937 0.000
0.000 0.000 8.355
Cs Sc Pd F
1 1 2 8
direct
0.000 0.000 0.000
0.000 0.000 0.500
0.333 0.667 0.689
0.667 0.333 0.311
0.026 0.725 0.358
0.275 0.302 0.358
0.302 0.026 0.642
0.333 0.667 0.931
0.667 0.333 0.069
0.698 0.974 0.358
0.725 0.698 0.642
0.974 0.275 0.642
```

Calculated values
space-group type: No. 147
E_form (uncorrected): -25.6 eV per formula unit
mass density: 3.83 g/cm3
total magnetic moment: 4.000 μB per formula unit



No. 2
The following is a PBE calculation of a relaxed Cs2ScPdF6 crystal, from Alexandria.

POSCAR file:
```
Cs2ScPdF6
1.0
-3.341 3.341 4.258
3.341 -3.341 4.258
3.341 3.341 -4.258
Cs Sc Pd F
2 1 1 6
direct
0.250 0.750 0.500
0.750 0.250 0.500
0.000 0.000 0.000
0.500 0.500 0.000
0.215 0.215 0.430
0.215 0.785 0.000
0.243 0.243 0.000
0.757 0.757 0.000
0.785 0.215 0.000
0.785 0.785 0.570
```

Calculated values
space-group type: No. 139
E_form (uncorrected): -28.1 eV per formula unit
mass density: 4.64 g/cm3
total magnetic moment: 1.000 μB per formula unit